Density functional theory data (PBE-GGA) for a relaxed structure of Pr2Sm7Tm3.

```
data_Pr2Sm7Tm3
_chemical_formula_sum 'Pr2 Sm7 Tm3'
_cell_length_a 6.425
_cell_length_b 3.559
_cell_length_c 17.617
_cell_angle_alpha 90.00
_cell_angle_beta 95.96
_cell_angle_gamma 90.00
_space_group_name_H-M_alt 'P 1'
_space_group_IT_number 1
loop_
_space_group_symop_operation_xyz
'x,y,z'
loop_
_atom_site_label
_atom_site_type_symbol
_atom_site_fract_x
_atom_site_fract_y
_atom_site_fract_z
Pr1 Pr 0.059 0.000 0.171
Pr2 Pr 0.941 0.000 0.829
Sm1 Sm 0.000 0.500 0.500
Sm2 Sm 0.229 0.000 0.669
Sm3 Sm 0.258 0.000 0.997
Sm4 Sm 0.278 0.500 0.337
Sm5 Sm 0.722 0.500 0.663
Sm6 Sm 0.742 0.000 0.003
Sm7 Sm 0.771 0.000 0.331
Tm1 Tm 0.454 0.500 0.842
Tm2 Tm 0.500 0.000 0.500
Tm3 Tm 0.546 0.500 0.158
```

total magnetic moment = 0.000 μB per formula unit
calculated total energy = -4.5989 eV/atom
distance to the lowest polymorph of the same formula = 0.000 eV per atom
mass density = 7.6 g/cm3

***

Density functional theory data (PBE-GGA) for a relaxed structure of Pr2Sm4Tm5.

```
data_Pr2Sm4Tm5
_chemical_formula_sum 'Pr2 Sm4 Tm5'
_cell_length_a 12.121
_cell_length_b 12.121
_cell_length_c 8.669
_cell_angle_alpha 94.42
_cell_angle_beta 94.42
_cell_angle_gamma 16.73
_space_group_name_H-M_alt 'P 1'
_space_group_IT_number 1
loop_
_space_group_symop_operation_xyz
'x,y,z'
loop_
_atom_site_label
_atom_site_type_symbol
_atom_site_fract_x
_atom_site_fract_y
_atom_site_fract_z
Pr1 Pr 0.130 0.130 0.050
Pr2 Pr 0.870 0.870 0.950
Sm1 Sm 0.040 0.040 0.345
Sm2 Sm 0.274 0.274 0.176
Sm3 Sm 0.726 0.726 0.824
Sm4 Sm 0.960 0.960 0.655
Tm1 Tm 0.186 0.186 0.478
Tm2 Tm 0.412 0.412 0.308
Tm3 Tm 0.500 0.500 0.000
Tm4 Tm 0.588 0.588 0.692
Tm5 Tm 0.814 0.814 0.522
```

total magnetic moment = 0.000 μB per formula unit
calculated total energy = -4.5157 eV/atom
distance to the lowest polymorph of the same formula = 0.050 eV per atom
mass density = 7.8 g/cm3

***

Density functional theory data (PBE-GGA) for a relaxed structure of Pr3Sm6Tm.

```
data_Pr3Sm6Tm
_chemical_formula_sum 'Pr6 Sm12 Tm2'
_cell_length_a 11.103
_cell_length_b 11.103
_cell_length_c 6.486
_cell_angle_alpha 90.00
_cell_angle_beta 90.00
_cell_angle_gamma 120.51
_space_group_name_H-M_alt 'P 1'
_space_group_IT_number 1
loop_
_space_group_symop_operation_xyz
'x,y,z'
loop_
_atom_site_label
_atom_site_type_symbol
_atom_site_fract_x
_atom_site_fract_y
_atom_site_fract_z
Pr1 Pr 0.114 0.886 0.500
Pr2 Pr 0.210 0.441 0.112
Pr3 Pr 0.441 0.210 0.612
Pr4 Pr 0.559 0.790 0.112
Pr5 Pr 0.790 0.559 0.612
Pr6 Pr 0.886 0.114 0.000
Sm1 Sm 0.025 0.444 0.709
Sm2 Sm 0.126 0.214 0.520
Sm3 Sm 0.214 0.126 0.020
Sm4 Sm 0.226 0.774 0.926
Sm5 Sm 0.444 0.025 0.209
Sm6 Sm 0.464 0.536 0.710
Sm7 Sm 0.536 0.464 0.210
Sm8 Sm 0.556 0.975 0.709
Sm9 Sm 0.774 0.226 0.426
Sm10 Sm 0.786 0.874 0.520
Sm11 Sm 0.874 0.786 0.020
Sm12 Sm 0.975 0.556 0.209
Tm1 Tm 0.308 0.692 0.458
Tm2 Tm 0.692 0.308 0.958
```

total magnetic moment = 0.000 μB per formula unit
calculated total energy = -4.5725 eV/atom
distance to the lowest polymorph of the same formula = 0.000 eV per atom
mass density = 7.2 g/cm3

***

Density functional theory data (PBE-GGA) for a relaxed structure of Pr2Sm2Tm3.

```
data_Pr2Sm2Tm3
_chemical_formula_sum 'Pr2 Sm2 Tm3'
_cell_length_a 5.619
_cell_length_b 5.619
_cell_length_c 9.139
_cell_angle_alpha 113.06
_cell_angle_beta 113.06
_cell_angle_gamma 64.11
_space_group_name_H-M_alt 'P 1'
_space_group_IT_number 1
loop_
_space_group_symop_operation_xyz
'x,y,z'
loop_
_atom_site_label
_atom_site_type_symbol
_atom_site_fract_x
_atom_site_fract_y
_atom_site_fract_z
Pr1 Pr 0.214 0.214 0.140
Pr2 Pr 0.786 0.786 0.860
Sm1 Sm 0.069 0.069 0.707
Sm2 Sm 0.931 0.931 0.293
Tm1 Tm 0.358 0.358 0.570
Tm2 Tm 0.500 0.500 0.000
Tm3 Tm 0.642 0.642 0.430
```

total magnetic moment = 0.000 μB per formula unit
calculated total energy = -4.5105 eV/atom
distance to the lowest polymorph of the same formula = 0.000 eV per atom
mass density = 7.9 g/cm3

***

Density functional theory data (PBE-GGA) for a relaxed structure of Pr2Sm6Tm3.

```
data_Pr2Sm6Tm3
_chemical_formula_sum 'Pr2 Sm6 Tm3'
_cell_length_a 17.259
_cell_length_b 17.259
_cell_length_c 17.259
_cell_angle_alpha 164.08
_cell_angle_beta 164.08
_cell_angle_gamma 22.59
_space_group_name_H-M_alt 'P 1'
_space_group_IT_number 1
loop_
_space_group_symop_operation_xyz
'x,y,z'
loop_
_atom_site_label
_atom_site_type_symbol
_atom_site_fract_x
_atom_site_fract_y
_atom_site_fract_z
Pr1 Pr 0.046 0.046 0.000
Pr2 Pr 0.954 0.954 0.000
Sm1 Sm 0.123 0.623 0.500
Sm2 Sm 0.199 0.199 0.000
Sm3 Sm 0.377 0.877 0.500
Sm4 Sm 0.623 0.123 0.500
Sm5 Sm 0.801 0.801 0.000
Sm6 Sm 0.877 0.377 0.500
Tm1 Tm 0.300 0.300 0.000
Tm2 Tm 0.500 0.500 0.000
Tm3 Tm 0.700 0.700 0.000
```

total magnetic moment = 0.000 μB per formula unit
calculated total energy = -4.3810 eV/atom
distance to the lowest polymorph of the same formula = 0.112 eV per atom
mass density = 7.3 g/cm3

***

Density functional theory data (PBE-GGA) for a relaxed structure of Pr4Sm4Tm5.

```
data_Pr4Sm4Tm5
_chemical_formula_sum 'Pr4 Sm4 Tm5'
_cell_length_a 9.540
_cell_length_b 9.540
_cell_length_c 9.540
_cell_angle_alpha 94.06
_cell_angle_beta 94.06
_cell_angle_gamma 149.13
_space_group_name_H-M_alt 'P 1'
_space_group_IT_number 1
loop_
_space_group_symop_operation_xyz
'x,y,z'
loop_
_atom_site_label
_atom_site_type_symbol
_atom_site_fract_x
_atom_site_fract_y
_atom_site_fract_z
Pr1 Pr 0.080 0.383 0.462
Pr2 Pr 0.383 0.920 0.303
Pr3 Pr 0.617 0.080 0.697
Pr4 Pr 0.920 0.617 0.538
Sm1 Sm 0.152 0.772 0.924
Sm2 Sm 0.228 0.152 0.380
Sm3 Sm 0.772 0.848 0.620
Sm4 Sm 0.848 0.228 0.076
Tm1 Tm 0.000 0.000 0.000
Tm2 Tm 0.312 0.539 0.851
Tm3 Tm 0.461 0.312 0.773
Tm4 Tm 0.539 0.688 0.227
Tm5 Tm 0.688 0.461 0.149
```

total magnetic moment = 0.000 μB per formula unit
calculated total energy = -4.6198 eV/atom
mass density = 7.8 g/cm3

***

Density functional theory data (PBE-GGA) for a relaxed structure of PrSmTm14.

```
data_PrSmTm14
_chemical_formula_sum 'Pr1 Sm1 Tm14'
_cell_length_a 11.342
_cell_length_b 7.054
_cell_length_c 7.054
_cell_angle_alpha 60.15
_cell_angle_beta 90.00
_cell_angle_gamma 90.00
_space_group_name_H-M_alt 'P 1'
_space_group_IT_number 1
loop_
_space_group_symop_operation_xyz
'x,y,z'
loop_
_atom_site_label
_atom_site_type_symbol
_atom_site_fract_x
_atom_site_fract_y
_atom_site_fract_z
Pr1 Pr 0.000 0.000 0.000
Sm1 Sm 0.000 0.500 0.500
Tm1 Tm 0.000 0.000 0.500
Tm2 Tm 0.000 0.500 0.000
Tm3 Tm 0.252 0.668 0.668
Tm4 Tm 0.253 0.168 0.168
Tm5 Tm 0.255 0.167 0.666
Tm6 Tm 0.255 0.666 0.167
Tm7 Tm 0.500 0.334 0.334
Tm8 Tm 0.500 0.335 0.834
Tm9 Tm 0.500 0.834 0.335
Tm10 Tm 0.500 0.834 0.834
Tm11 Tm 0.745 0.167 0.666
Tm12 Tm 0.745 0.666 0.167
Tm13 Tm 0.747 0.168 0.168
Tm14 Tm 0.748 0.668 0.668
```

total magnetic moment = 0.000 μB per formula unit
calculated total energy = -4.4925 eV/atom
mass density = 9.0 g/cm3

***

Density functional theory data (PBE-GGA) for a relaxed structure of Pr2Sm3Tm6.

```
data_Pr2Sm3Tm6
_chemical_formula_sum 'Pr2 Sm3 Tm6'
_cell_length_a 16.892
_cell_length_b 16.892
_cell_length_c 16.892
_cell_angle_alpha 163.85
_cell_angle_beta 163.85
_cell_angle_gamma 22.92
_space_group_name_H-M_alt 'P 1'
_space_group_IT_number 1
loop_
_space_group_symop_operation_xyz
'x,y,z'
loop_
_atom_site_label
_atom_site_type_symbol
_atom_site_fract_x
_atom_site_fract_y
_atom_site_fract_z
Pr1 Pr 0.047 0.047 0.000
Pr2 Pr 0.953 0.953 0.000
Sm1 Sm 0.296 0.296 0.000
Sm2 Sm 0.500 0.500 0.000
Sm3 Sm 0.704 0.704 0.000
Tm1 Tm 0.122 0.622 0.500
Tm2 Tm 0.192 0.192 0.000
Tm3 Tm 0.378 0.878 0.500
Tm4 Tm 0.622 0.122 0.500
Tm5 Tm 0.808 0.808 0.000
Tm6 Tm 0.878 0.378 0.500
```

total magnetic moment = 0.001 μB per formula unit
calculated total energy = -4.3340 eV/atom
distance to the lowest polymorph of the same formula = 0.076 eV per atom
mass density = 7.8 g/cm3

***

Density functional theory data (PBE-GGA) for a relaxed structure of Pr5SmTm3.

```
data_Pr5SmTm3
_chemical_formula_sum 'Pr10 Sm2 Tm6'
_cell_length_a 9.796
_cell_length_b 9.796
_cell_length_c 9.796
_cell_angle_alpha 123.35
_cell_angle_beta 123.35
_cell_angle_gamma 84.28
_space_group_name_H-M_alt 'P 1'
_space_group_IT_number 1
loop_
_space_group_symop_operation_xyz
'x,y,z'
loop_
_atom_site_label
_atom_site_type_symbol
_atom_site_fract_x
_atom_site_fract_y
_atom_site_fract_z
Pr1 Pr 0.000 0.000 0.000
Pr2 Pr 0.068 0.568 0.900
Pr3 Pr 0.167 0.068 0.500
Pr4 Pr 0.333 0.833 0.900
Pr5 Pr 0.432 0.333 0.500
Pr6 Pr 0.500 0.500 0.000
Pr7 Pr 0.568 0.667 0.500
Pr8 Pr 0.667 0.167 0.100
Pr9 Pr 0.833 0.932 0.500
Pr10 Pr 0.932 0.432 0.100
Sm1 Sm 0.250 0.750 0.500
Sm2 Sm 0.750 0.250 0.500
Tm1 Tm 0.110 0.390 0.500
Tm2 Tm 0.250 0.250 0.000
Tm3 Tm 0.390 0.890 0.280
Tm4 Tm 0.610 0.110 0.720
Tm5 Tm 0.750 0.750 0.000
Tm6 Tm 0.890 0.610 0.500
```

total magnetic moment = 0.000 μB per formula unit
calculated total energy = -4.3671 eV/atom
distance to the lowest polymorph of the same formula = 0.027 eV per atom
mass density = 7.2 g/cm3